# 1
Material: NdYSbSe
Method: DFT, PBE
State: relaxed

## Properties
Raw total energy, eV/cell: -24.657
V, Å³/atom: 28.7

Cell: 4.350 4.350 6.072 Å, 90.00 90.00 90.00°
Atoms (fractional coordinates):
Nd 0.000 0.000 0.000
Y 0.500 0.500 0.501
Sb 0.500 0.500 0.001
Se 0.000 0.000 0.500

=====

# 2
Material: Nd8SiSb2
Method: DFT, PBE
State: relaxed

## Properties
Raw total energy, eV/cell: -57.213
V, Å³/atom: 31.9

Cell: 9.795 9.795 7.773 Å, 94.87 94.87 28.15°
Atoms (fractional coordinates):
Nd 0.003 0.003 0.271
Nd 0.217 0.217 0.859
Nd 0.343 0.343 0.461
Nd 0.403 0.403 0.982
Nd 0.597 0.597 0.018
Nd 0.657 0.657 0.539
Nd 0.783 0.783 0.141
Nd 0.997 0.997 0.729
Si 0.500 0.500 0.500
Sb 0.177 0.177 0.272
Sb 0.823 0.823 0.728

=====

# 3
Material: Nd2SiSb
Method: DFT, PBE
State: relaxed

## Properties
Raw total energy, eV/cell: -45.237
Relative energy among the computed polymorphs, eV/atom: 0.000
V, Å³/atom: 28.7

Cell: 12.200 12.200 4.190 Å, 90.00 90.00 158.39°
Atoms (fractional coordinates):
Nd 0.061 0.939 0.750
Nd 0.321 0.679 0.750
Nd 0.679 0.321 0.250
Nd 0.939 0.061 0.250
Si 0.466 0.534 0.750
Si 0.534 0.466 0.250
Sb 0.189 0.811 0.750
Sb 0.811 0.189 0.250

=====

# 4
Material: Nd2SiSb
Method: DFT, PBE
State: relaxed

## Properties
Raw total energy, eV/cell: -22.267
Relative energy among the computed polymorphs, eV/atom: 0.088
V, Å³/atom: 29.9

Cell: 7.744 7.744 7.744 Å, 32.57 32.57 32.57°
Atoms (fractional coordinates):
Nd 0.245 0.245 0.245
Nd 0.755 0.755 0.755
Si 0.500 0.500 0.500
Sb 0.000 0.000 0.000

=====

# 5
Material: Nd5Si2Sb2
Method: DFT, PBE
State: relaxed

## Properties
Raw total energy, eV/cell: -102.028
V, Å³/atom: 28.6

Cell: 8.804 8.804 8.137 Å, 90.00 90.00 54.76°
Atoms (fractional coordinates):
Nd 0.000 0.000 0.000
Nd 0.045 0.696 0.673
Nd 0.196 0.545 0.173
Nd 0.304 0.955 0.673
Nd 0.455 0.804 0.173
Nd 0.500 0.500 0.500
Nd 0.545 0.196 0.827
Nd 0.696 0.045 0.327
Nd 0.804 0.455 0.827
Nd 0.955 0.304 0.327
Si 0.116 0.884 0.384
Si 0.384 0.616 0.884
Si 0.616 0.384 0.116
Si 0.884 0.116 0.616
Sb 0.207 0.207 0.000
Sb 0.293 0.293 0.500
Sb 0.707 0.707 0.500
Sb 0.793 0.793 0.000

=====

# 6
Material: Nd6SiSb2Te3
Method: DFT, PBE
State: relaxed

## Properties
Raw total energy, eV/cell: -67.118
V, Å³/atom: 31.9

Cell: 10.053 10.053 9.014 Å, 103.31 103.31 25.63°
Atoms (fractional coordinates):
Nd 0.000 0.000 0.226
Nd 0.000 0.000 0.774
Nd 0.332 0.332 0.422
Nd 0.345 0.345 0.918
Nd 0.655 0.655 0.082
Nd 0.668 0.668 0.578
Si 0.500 0.500 0.000
Sb 0.166 0.166 0.333
Sb 0.834 0.834 0.667
Te 0.170 0.170 0.835
Te 0.500 0.500 0.500
Te 0.830 0.830 0.165

=====

# 7
Material: Nd4SmSb5
Method: DFT, PBE
State: relaxed

## Properties
Raw total energy, eV/cell: -56.277
V, Å³/atom: 32.5

Cell: 16.267 16.267 16.267 Å, 164.05 164.05 22.63°
Atoms (fractional coordinates):
Nd 0.100 0.100 0.000
Nd 0.300 0.300 0.000
Nd 0.700 0.700 0.000
Nd 0.900 0.900 0.000
Sm 0.500 0.500 0.000
Sb 0.000 0.000 0.000
Sb 0.200 0.200 0.000
Sb 0.401 0.401 0.000
Sb 0.599 0.599 0.000
Sb 0.800 0.800 0.000

=====

# 8
Material: NdSm3Sb
Method: DFT, PBE
State: relaxed

## Properties
Raw total energy, eV/cell: -99.837
V, Å³/atom: 32.9

Cell: 11.023 4.054 14.710 Å, 90.00 90.00 90.00°
Atoms (fractional coordinates):
Nd 0.167 0.250 0.002
Nd 0.333 0.750 0.502
Nd 0.667 0.250 0.498
Nd 0.833 0.750 0.998
Sm 0.060 0.250 0.415
Sm 0.070 0.750 0.206
Sm 0.184 0.750 0.790
Sm 0.316 0.250 0.290
Sm 0.430 0.250 0.706
Sm 0.440 0.750 0.915
Sm 0.560 0.250 0.085
Sm 0.570 0.750 0.294
Sm 0.684 0.750 0.710
Sm 0.816 0.250 0.210
Sm 0.930 0.250 0.794
Sm 0.940 0.750 0.585
Sb 0.158 0.250 0.622
Sb 0.342 0.750 0.122
Sb 0.658 0.250 0.878
Sb 0.842 0.750 0.378

=====

Q: Which of these has the highest raw total energy?
A: number 4

=====

Q: Which value of V does entry 1 give?
A: 28.7 Å³/atom

=====

Q: Which value of V does entry 4 give?
A: 29.9 Å³/atom